1.
9
Lattice="4.7486 -1.4456 0.0000 4.7486 1.4456 0.0000 -3.9620 0.0000 10.6348" Properties=species:S:1:pos:R:3 comment="Al5Ag4, optimized geometry, DFT GGA-PBEsol" volume_a3_per_fu=146.0 total_energy_ev_per_atom=-3.79 de_polymorph_mev_per_atom=17 formation_energy_mev_per_atom=-44 total_magnetization_mub_per_fu=0.00 rho_g_cm3=6.4 pbc="T T T"
Al 0.0000 0.0000 0.0000
Al 1.8295 0.0000 3.6148
Al 1.1732 0.0000 8.2782
Al 4.3620 0.0000 2.3565
Al 3.7058 0.0000 7.0199
Ag -0.7049 0.0000 4.6710
Ag -1.3714 0.0000 9.3866
Ag 6.9067 0.0000 1.2482
Ag 6.2402 0.0000 5.9638

2.
7
Lattice="4.4694 -2.0003 0.0000 4.4694 2.0003 0.0000 -0.7729 0.0000 6.4180" Properties=species:S:1:pos:R:3 comment="Al5Ag2, optimized geometry, DFT GGA-PBEsol" volume_a3_per_fu=114.8 total_energy_ev_per_atom=-3.87 de_polymorph_mev_per_atom=49 formation_energy_mev_per_atom=0 total_magnetization_mub_per_fu=0.00 rho_g_cm3=5.1 pbc="T T T"
Al 0.0000 0.0000 0.0000
Al 0.9344 0.0000 2.7302
Al 1.9163 0.0000 5.5215
Al 6.2497 0.0000 0.8965
Al 7.2316 0.0000 3.6878
Ag 3.5494 0.0000 1.8510
Ag 4.6166 0.0000 4.5671

3.
24
Lattice="0.0000 5.8246 5.8246 5.8246 0.0000 5.8246 5.8246 5.8246 0.0000" Properties=species:S:1:pos:R:3 comment="AlAg2, optimized geometry, DFT GGA-PBEsol" volume_a3_per_fu=49.4 total_energy_ev_per_atom=-3.62 formation_energy_mev_per_atom=-53 total_magnetization_mub_per_fu=0.00 rho_g_cm3=8.2 pbc="T T T"
Al 9.1599 5.4017 5.4017
Al 2.4894 2.4894 2.4894
Al 6.2476 6.2476 2.4894
Al 6.2476 2.4894 6.2476
Al 5.4017 9.1599 5.4017
Al 5.4017 5.4017 9.1599
Al 9.1599 9.1599 9.1599
Al 2.4894 6.2476 6.2476
Ag 0.0000 0.0000 0.0000
Ag 2.9123 2.9123 0.0000
Ag 2.9123 0.0000 2.9123
Ag 4.3685 4.3685 2.2328
Ag 4.3685 2.2328 4.3685
Ag 6.5041 4.3685 4.3685
Ag 7.2808 7.2808 5.1451
Ag 7.2808 5.1451 7.2808
Ag 9.4164 7.2808 7.2808
Ag 0.0000 2.9123 2.9123
Ag 2.2328 4.3685 4.3685
Ag 4.3685 6.5041 4.3685
Ag 4.3685 4.3685 6.5041
Ag 5.1451 7.2808 7.2808
Ag 7.2808 9.4164 7.2808
Ag 7.2808 7.2808 9.4164

4.
7
Lattice="4.8738 0.0000 0.0000 -0.8242 4.8659 0.0000 -0.8133 -1.0020 4.8120" Properties=species:S:1:pos:R:3 comment="Al5Ag2, optimized geometry, DFT GGA-PBEsol" volume_a3_per_fu=114.1 total_energy_ev_per_atom=-3.89 de_polymorph_mev_per_atom=29 formation_energy_mev_per_atom=-20 total_magnetization_mub_per_fu=0.00 rho_g_cm3=5.1 pbc="T T T"
Al 0.0000 0.0000 0.0000
Al 0.8149 0.1435 2.7316
Al 0.7771 2.6221 4.1433
Al 2.4592 1.2418 0.6687
Al 2.4213 3.7203 2.0804
Ag 0.0027 2.5365 1.3826
Ag 3.2336 1.3274 3.4294

5.
8
Lattice="5.2610 -2.7574 0.0000 5.2610 2.7574 0.0000 -1.5175 0.0000 4.4930" Properties=species:S:1:pos:R:3 comment="AlAg, optimized geometry, DFT GGA-PBEsol" volume_a3_per_fu=32.6 total_energy_ev_per_atom=-3.75 formation_energy_mev_per_atom=-47 total_magnetization_mub_per_fu=0.00 rho_g_cm3=6.9 pbc="T T T"
Al 0.0000 0.0000 0.0000
Al 1.0688 -1.3446 4.4715
Al 4.5022 -1.2772 2.2465
Al 7.9356 -1.3446 0.0214
Ag 4.5022 1.4916 2.2465
Ag 1.8356 0.0493 2.2079
Ag 5.2610 -0.0460 0.0000
Ag 7.1689 0.0493 2.2851

6.
6
Lattice="2.0200 -6.0069 0.0000 2.0200 6.0069 0.0000 0.0000 0.0000 4.0314" Properties=species:S:1:pos:R:3 comment="Al5Ag, optimized geometry, DFT GGA-PBEsol" volume_a3_per_fu=97.8 total_energy_ev_per_atom=-3.95 de_polymorph_mev_per_atom=30 formation_energy_mev_per_atom=8 total_magnetization_mub_per_fu=0.00 rho_g_cm3=4.1 pbc="T T T"
Al 0.0000 0.0000 0.0000
Al 2.0200 4.0229 2.0157
Al 2.0200 2.0051 0.0000
Al 2.0200 -2.0051 0.0000
Al 2.0200 -4.0229 2.0157
Ag 2.0200 0.0000 2.0157

7.
4
Lattice="2.8673 0.0000 0.0000 -1.4336 2.4831 0.0000 0.0000 0.0000 9.1159" Properties=species:S:1:pos:R:3 comment="Al3Ag, optimized geometry, DFT GGA-PBEsol" volume_a3_per_fu=64.9 total_energy_ev_per_atom=-3.90 formation_energy_mev_per_atom=1 total_magnetization_mub_per_fu=0.00 rho_g_cm3=4.8 pbc="T T T"
Al 0.0000 0.0000 0.0000
Al 0.0000 1.6554 2.3027
Al 0.0000 1.6554 6.8132
Ag 0.0000 0.0000 4.5579

8.
12
Lattice="2.8761 0.0000 0.0000 0.0000 8.4524 0.0000 0.0000 0.0000 7.9813" Properties=species:S:1:pos:R:3 comment="Al7Ag5, optimized geometry, DFT GGA-PBEsol" volume_a3_per_fu=194.0 total_energy_ev_per_atom=-3.82 de_polymorph_mev_per_atom=3 formation_energy_mev_per_atom=-54 total_magnetization_mub_per_fu=0.00 rho_g_cm3=6.2 pbc="T T T"
Al 0.0000 0.0000 0.0000
Al 0.0000 0.0000 3.9334
Al 0.0000 2.8171 0.1015
Al 0.0000 5.6353 0.1015
Al 1.4380 1.4050 5.9761
Al 1.4380 4.2262 2.1776
Al 1.4380 7.0475 5.9761
Ag 0.0000 2.7927 4.0798
Ag 0.0000 5.6597 4.0798
Ag 1.4380 1.4123 1.9680
Ag 1.4380 4.2262 6.2041
Ag 1.4380 7.0401 1.9680

9.
8
Lattice="2.8680 -3.9169 0.0000 2.8680 3.9169 0.0000 0.0000 0.0000 5.7773" Properties=species:S:1:pos:R:3 comment="Al5Ag3, optimized geometry, DFT GGA-PBEsol" volume_a3_per_fu=129.8 total_energy_ev_per_atom=-3.84 de_polymorph_mev_per_atom=16 formation_energy_mev_per_atom=-42 total_magnetization_mub_per_fu=0.00 rho_g_cm3=5.9 pbc="T T T"
Al 0.0000 0.0000 0.0000
Al 0.0000 0.0000 2.8616
Al 1.4340 1.9585 1.4323
Al 1.4340 -1.9585 1.4323
Al 2.8680 0.0000 2.9926
Ag 1.4340 1.9585 4.2947
Ag 1.4340 -1.9585 4.2947
Ag 2.8680 0.0000 0.1436

10.
11
Lattice="7.1242 -1.9773 0.0000 7.1242 1.9773 0.0000 -1.5191 0.0000 6.3514" Properties=species:S:1:pos:R:3 comment="Al7Ag4, optimized geometry, DFT GGA-PBEsol" volume_a3_per_fu=178.9 total_energy_ev_per_atom=-3.84 de_polymorph_mev_per_atom=28 formation_energy_mev_per_atom=-28 total_magnetization_mub_per_fu=0.00 rho_g_cm3=5.8 pbc="T T T"
Al 0.0000 0.0000 0.0000
Al 0.5560 0.0000 2.8977
Al 1.2293 0.0000 5.8200
Al 3.2935 0.0000 2.3261
Al 6.0342 0.0000 1.6747
Al 6.6245 0.0000 4.6262
Al 12.0934 0.0000 3.4249
Ag 3.9625 0.0000 5.1009
Ag 8.7652 0.0000 1.2150
Ag 9.2698 0.0000 4.0686
Ag 11.5494 0.0000 0.6024

11.
8
Lattice="-1.9983 1.9983 8.1710 1.9983 -1.9983 8.1710 1.9983 1.9983 -8.1710" Properties=species:S:1:pos:R:3 comment="Al5Ag3, optimized geometry, DFT GGA-PBEsol" volume_a3_per_fu=130.5 total_energy_ev_per_atom=-3.81 de_polymorph_mev_per_atom=48 formation_energy_mev_per_atom=-11 total_magnetization_mub_per_fu=0.00 rho_g_cm3=5.8 pbc="T T T"
Al 0.0000 0.0000 0.0000
Al 0.0000 0.0000 4.0736
Al 0.0000 1.9983 2.0443
Al 0.0000 0.0000 12.2684
Al 0.0000 1.9983 6.1267
Ag 1.9983 0.0000 2.0451
Ag 1.9983 0.0000 6.1259
Ag 0.0000 0.0000 8.1710

12.
8
Lattice="4.7391 -1.9635 0.0000 4.7391 1.9635 0.0000 -4.1975 0.0000 6.9523" Properties=species:S:1:pos:R:3 comment="AlAg, optimized geometry, DFT GGA-PBEsol" volume_a3_per_fu=32.3 total_energy_ev_per_atom=-3.78 formation_energy_mev_per_atom=-75 total_magnetization_mub_per_fu=0.00 rho_g_cm3=6.9 pbc="T T T"
Al 0.3464 0.0000 1.3450
Al 3.2795 0.0000 0.4568
Al 2.0011 0.0000 6.4954
Al 4.9342 0.0000 5.6073
Ag -1.6758 0.0000 4.8839
Ag 1.1847 0.0000 3.9381
Ag 4.0959 0.0000 3.0142
Ag 6.9564 0.0000 2.0684

13.
4
Lattice="-1.4182 4.8233 2.4104 1.4182 -4.8233 2.4104 1.4182 4.8233 -2.4104" Properties=species:S:1:pos:R:3 comment="Al3Ag, optimized geometry, DFT GGA-PBEsol" volume_a3_per_fu=66.0 total_energy_ev_per_atom=-3.86 formation_energy_mev_per_atom=37 total_magnetization_mub_per_fu=0.00 rho_g_cm3=4.8 pbc="T T T"
Al 0.0000 0.0000 0.0000
Al 1.4182 2.4310 -0.7646
Al 0.0000 2.3923 1.6458
Ag 0.0000 4.8233 0.0314

14.
12
Lattice="-1.9910 1.9910 12.2051 1.9910 -1.9910 12.2051 1.9910 1.9910 -12.2051" Properties=species:S:1:pos:R:3 comment="AlAg, optimized geometry, DFT GGA-PBEsol" volume_a3_per_fu=32.3 total_energy_ev_per_atom=-3.76 formation_energy_mev_per_atom=-55 total_magnetization_mub_per_fu=0.00 rho_g_cm3=6.9 pbc="T T T"
Al 0.0000 0.0000 0.0000
Al 0.0000 0.0000 4.0969
Al 1.9910 0.0000 6.1345
Al 0.0000 0.0000 8.2565
Al 0.0000 0.0000 16.2475
Al 0.0000 1.9910 6.1345
Ag 1.9910 0.0000 2.0989
Ag 1.9910 0.0000 10.1927
Ag 0.0000 0.0000 12.2529
Ag 0.0000 1.9910 2.0989
Ag 0.0000 0.0000 20.2585
Ag 0.0000 1.9910 10.1927

15.
11
Lattice="7.2751 -1.4757 0.0000 7.2751 1.4757 0.0000 -0.3218 0.0000 8.2731" Properties=species:S:1:pos:R:3 comment="Al5Ag6, optimized geometry, DFT GGA-PBEsol" volume_a3_per_fu=177.6 total_energy_ev_per_atom=-3.73 de_polymorph_mev_per_atom=6 formation_energy_mev_per_atom=-63 total_magnetization_mub_per_fu=0.00 rho_g_cm3=7.3 pbc="T T T"
Al 0.0000 0.0000 0.0000
Al 2.3112 0.0000 7.5091
Al 7.6474 0.0000 5.9830
Al 11.8073 0.0000 0.8393
Al 12.9430 0.0000 4.4786
Ag 1.0662 0.0000 3.8340
Ag 3.8058 0.0000 3.0488
Ag 5.0532 0.0000 6.8712
Ag 6.4649 0.0000 2.1872
Ag 9.1730 0.0000 1.4274
Ag 10.3258 0.0000 5.3866

16.
10
Lattice="5.0035 0.0000 0.0000 -1.6551 5.4390 0.0000 -0.8288 -1.8273 5.8994" Properties=species:S:1:pos:R:3 comment="Al2Ag3, optimized geometry, DFT GGA-PBEsol" volume_a3_per_fu=80.3 total_energy_ev_per_atom=-3.71 de_polymorph_mev_per_atom=0 formation_energy_mev_per_atom=-84 total_magnetization_mub_per_fu=0.00 rho_g_cm3=7.8 pbc="T T T"
Al -0.3634 1.3591 0.0092
Al 1.2751 -1.1886 4.6536
Al 1.2445 4.8003 1.2458
Al 2.8830 2.2525 5.8902
Ag 0.3842 0.0716 2.2875
Ag -0.3411 2.8335 2.2965
Ag 0.3375 1.5844 4.7953
Ag 2.1820 2.0273 1.1040
Ag 2.8607 0.7782 3.6029
Ag 2.1353 3.5401 3.6119

17.
4
Lattice="1.4553 0.8402 8.8671 -1.4553 0.8402 8.8671 0.0000 -1.6805 8.8671" Properties=species:S:1:pos:R:3 comment="Al3Ag, optimized geometry, DFT GGA-PBEsol" volume_a3_per_fu=65.1 total_energy_ev_per_atom=-3.93 formation_energy_mev_per_atom=-37 total_magnetization_mub_per_fu=0.00 rho_g_cm3=4.8 pbc="T T T"
Al 0.0000 0.0000 0.0000
Al 0.0000 0.0000 6.6430
Al 0.0000 0.0000 19.9584
Ag 0.0000 0.0000 13.3007

18.
6
Lattice="2.9204 0.0000 0.0000 -1.4602 2.5292 0.0000 0.0000 0.0000 13.1748" Properties=species:S:1:pos:R:3 comment="AlAg, optimized geometry, DFT GGA-PBEsol" volume_a3_per_fu=32.4 total_energy_ev_per_atom=-3.77 formation_energy_mev_per_atom=-67 total_magnetization_mub_per_fu=0.00 rho_g_cm3=6.9 pbc="T T T"
Al 0.0000 0.0000 0.0000
Al 0.0000 0.0000 6.5848
Al 1.4602 0.8431 4.3616
Ag 0.0000 1.6861 2.1937
Ag 0.0000 1.6861 8.6994
Ag 1.4602 0.8431 11.0383

19.
8
Lattice="-1.9802 2.0264 8.1354 1.9802 -2.0264 8.1354 1.9802 2.0264 -8.1354" Properties=species:S:1:pos:R:3 comment="Al5Ag3, optimized geometry, DFT GGA-PBEsol" volume_a3_per_fu=130.6 total_energy_ev_per_atom=-3.81 de_polymorph_mev_per_atom=45 formation_energy_mev_per_atom=-14 total_magnetization_mub_per_fu=0.00 rho_g_cm3=5.8 pbc="T T T"
Al 0.0000 0.0000 0.0000
Al 0.0000 0.0000 4.0524
Al 1.9802 0.0000 6.1445
Al 0.0000 2.0264 1.9909
Al 0.0000 0.0000 12.2183
Ag 1.9802 0.0000 2.0897
Ag 0.0000 0.0000 8.1354
Ag 0.0000 2.0264 6.0456

20.
8
Lattice="4.8181 0.0000 0.0000 -0.7014 4.9911 0.0000 -0.0638 -1.7744 5.4213" Properties=species:S:1:pos:R:3 comment="Al3Ag, optimized geometry, DFT GGA-PBEsol" volume_a3_per_fu=65.2 total_energy_ev_per_atom=-3.91 formation_energy_mev_per_atom=-18 total_magnetization_mub_per_fu=0.00 rho_g_cm3=4.8 pbc="T T T"
Al 0.4287 0.9600 1.0058
Al 0.4194 0.0089 3.7401
Al 1.2405 3.6517 0.3529
Al 2.8125 -0.4349 5.0685
Al 3.6335 3.2078 1.6812
Al 3.6243 2.2568 4.4156
Ag 1.2157 2.7443 3.0747
Ag 2.8373 0.4724 2.3467